Record 1
Below is a relaxed Mg3Zn2Se4 crystal, with properties calculated at the PBE-GGA level.

a = 7.433 Å, b = 7.433 Å, c = 9.262 Å
α = 61.41°, β = 61.41°, γ = 29.13°
Fractional coordinates of all 9 atoms:
Mg (0.148, 0.148, 0.160)
Se (0.775, 0.775, 0.174)
Se (0.225, 0.225, 0.826)
Se (0.501, 0.501, 0.782)
Mg (0.852, 0.852, 0.840)
Mg (0.000, 0.000, 0.000)
Zn (0.299, 0.299, 0.384)
Se (0.499, 0.499, 0.218)
Zn (0.701, 0.701, 0.616)

Computed properties:
relative energy among the computed polymorphs = 0.00 kJ per mole of atoms
DOS(E_F) = 0.7 states/eV per cell
magnetic moment = 0.00 μB/cell

Record 2
Below is a relaxed Mg3ZnSe2 crystal, with properties calculated at the PBE-GGA level.

a = 5.614 Å, b = 5.614 Å, c = 5.614 Å
α = 68.51°, β = 68.51°, γ = 68.51°
Fractional coordinates of all 6 atoms:
Zn (0.500, 0.500, 0.500)
Se (0.818, 0.818, 0.818)
Mg (0.000, 0.500, 0.500)
Mg (0.500, 0.500, 0.000)
Se (0.182, 0.182, 0.182)
Mg (0.500, 0.000, 0.500)

Computed properties:
relative energy among the computed polymorphs = 34.95 kJ per mole of atoms
DOS(E_F) = 0.7 states/eV per cell
magnetic moment = 0.00 μB/cell

Record 3
Below is a relaxed MgZnSe crystal, with properties calculated at the PBE-GGA level.

a = 5.963 Å, b = 6.531 Å, c = 6.791 Å
α = 90.00°, β = 90.00°, γ = 90.00°
Fractional coordinates of all 12 atoms:
Se (0.250, 0.621, 0.611)
Mg (0.750, 0.097, 0.686)
Zn (0.250, 0.238, 0.543)
Zn (0.250, 0.738, 0.957)
Se (0.750, 0.379, 0.389)
Zn (0.750, 0.762, 0.457)
Mg (0.250, 0.903, 0.314)
Se (0.250, 0.121, 0.889)
Se (0.750, 0.879, 0.111)
Mg (0.750, 0.597, 0.814)
Zn (0.750, 0.262, 0.043)
Mg (0.250, 0.403, 0.186)

Computed properties:
relative energy among the computed polymorphs = 26.52 kJ per mole of atoms
magnetic moment = 0.00 μB/cell

Record 4
Below is a relaxed MgZnSe crystal, with properties calculated at the PBE-GGA level.

a = 3.767 Å, b = 3.767 Å, c = 5.245 Å
α = 90.00°, β = 90.00°, γ = 120.00°
Fractional coordinates of all 3 atoms:
Zn (0.333, 0.667, 0.634)
Se (0.667, 0.333, 0.333)
Mg (0.000, 0.000, 0.033)

Computed properties:
relative energy among the computed polymorphs = 13.95 kJ per mole of atoms
DOS(E_F) = 0.2 states/eV per cell
magnetic moment = 0.00 μB/cell

Record 5
Below is a relaxed MgZn8Se4 crystal, with properties calculated at the PBE-GGA level.

a = 8.564 Å, b = 10.172 Å, c = 8.447 Å
α = 91.91°, β = 93.73°, γ = 158.06°
Fractional coordinates of all 13 atoms:
Zn (0.597, 0.196, 0.990)
Zn (0.785, 0.048, 0.359)
Zn (0.403, 0.804, 0.010)
Zn (0.675, 0.108, 0.652)
Zn (0.236, 0.279, 0.595)
Zn (0.325, 0.892, 0.348)
Se (0.487, 0.744, 0.751)
Se (0.661, 0.501, 0.844)
Zn (0.215, 0.952, 0.641)
Zn (0.764, 0.721, 0.405)
Se (0.513, 0.256, 0.249)
Mg (0.000, 0.000, 0.000)
Se (0.339, 0.499, 0.156)

Computed properties:
relative energy among the computed polymorphs = 0.00 kJ per mole of atoms
DOS(E_F) = 2.9 states/eV per cell
magnetic moment = 0.00 μB/cell

Record 6
Below is a relaxed MgZn2Se crystal, with properties calculated at the PBE-GGA level.

a = 3.692 Å, b = 3.692 Å, c = 12.080 Å
α = 90.00°, β = 90.00°, γ = 90.00°
Fractional coordinates of all 8 atoms:
Mg (0.000, 0.500, 0.803)
Zn (0.000, 0.500, 0.033)
Zn (0.000, 0.000, 0.500)
Zn (0.500, 0.500, 0.500)
Se (0.000, 0.500, 0.248)
Mg (0.500, 0.000, 0.197)
Zn (0.500, 0.000, 0.967)
Se (0.500, 0.000, 0.752)

Computed properties:
DOS(E_F) = 1.1 states/eV per cell
magnetic moment = 0.00 μB/cell

Record 7
Below is a relaxed Mg2ZnSe crystal, with properties calculated at the PBE-GGA level.

a = 3.698 Å, b = 5.199 Å, c = 9.709 Å
α = 90.00°, β = 90.00°, γ = 90.00°
Fractional coordinates of all 8 atoms:
Se (0.500, 0.000, 0.112)
Se (0.000, 0.500, 0.888)
Mg (0.000, 0.000, 0.918)
Mg (0.500, 0.500, 0.082)
Mg (0.000, 0.500, 0.615)
Mg (0.500, 0.000, 0.385)
Zn (0.500, 0.000, 0.669)
Zn (0.000, 0.500, 0.331)

Computed properties:
relative energy among the computed polymorphs = 14.48 kJ per mole of atoms
DOS(E_F) = 1.9 states/eV per cell
magnetic moment = 0.00 μB/cell

Record 8
Below is a relaxed MgZn3Se4 crystal, with properties calculated at the PBE-GGA level.

a = 5.802 Å, b = 5.802 Å, c = 7.106 Å
α = 114.10°, β = 114.10°, γ = 90.00°
Fractional coordinates of all 8 atoms:
Zn (0.500, 0.500, 0.000)
Se (0.871, 0.871, 0.256)
Se (0.385, 0.385, 0.256)
Mg (0.000, 0.000, 0.000)
Se (0.615, 0.129, 0.744)
Se (0.129, 0.615, 0.744)
Zn (0.750, 0.250, 0.500)
Zn (0.250, 0.750, 0.500)

Computed properties:
DOS(E_F) = 0.0 states/eV per cell
magnetic moment = 0.00 μB/cell

Record 9
Below is a relaxed MgZn6Se6 crystal, with properties calculated at the PBE-GGA level.

a = 7.531 Å, b = 6.137 Å, c = 7.589 Å
α = 90.00°, β = 90.00°, γ = 127.85°
Fractional coordinates of all 13 atoms:
Zn (0.331, 0.662, 0.000)
Se (0.000, 0.500, 0.238)
Mg (0.000, 0.000, 0.000)
Se (0.500, 0.500, 0.238)
Se (0.000, 0.500, 0.762)
Zn (0.669, 0.338, 0.000)
Zn (0.272, 0.544, 0.500)
Zn (0.000, 0.000, 0.340)
Zn (0.728, 0.456, 0.500)
Se (0.500, 0.500, 0.762)
Se (0.500, 0.000, 0.275)
Zn (0.000, 0.000, 0.660)
Se (0.500, 0.000, 0.725)

Computed properties:
relative energy among the computed polymorphs = 22.81 kJ per mole of atoms
DOS(E_F) = 3.7 states/eV per cell
magnetic moment = 0.00 μB/cell

Record 10
Below is a relaxed Mg2ZnSe crystal, with properties calculated at the PBE-GGA level.

a = 4.941 Å, b = 4.941 Å, c = 4.941 Å
α = 60.00°, β = 60.00°, γ = 60.00°
Fractional coordinates of all 4 atoms:
Mg (0.250, 0.250, 0.250)
Se (0.500, 0.500, 0.500)
Zn (0.750, 0.750, 0.750)
Mg (0.000, 0.000, 0.000)

Computed properties:
relative energy among the computed polymorphs = 47.51 kJ per mole of atoms
DOS(E_F) = 1.6 states/eV per cell
magnetic moment = 0.00 μB/cell

Record 11
Below is a relaxed Mg8Zn4Se crystal, with properties calculated at the PBE-GGA level.

a = 8.203 Å, b = 8.225 Å, c = 8.424 Å
α = 104.30°, β = 83.07°, γ = 150.20°
Fractional coordinates of all 13 atoms:
Mg (0.230, 0.871, 0.099)
Zn (0.436, 0.682, 0.115)
Mg (0.150, 0.183, 0.333)
Zn (0.761, 0.554, 0.314)
Mg (0.928, 0.369, 0.297)
Mg (0.072, 0.631, 0.703)
Mg (0.601, 0.898, 0.500)
Mg (0.770, 0.129, 0.901)
Mg (0.850, 0.817, 0.667)
Zn (0.564, 0.318, 0.885)
Se (0.000, 0.000, 0.000)
Mg (0.399, 0.102, 0.500)
Zn (0.239, 0.446, 0.686)

Computed properties:
relative energy among the computed polymorphs = 0.00 kJ per mole of atoms
DOS(E_F) = 3.5 states/eV per cell
magnetic moment = 0.00 μB/cell

Record 12
Below is a relaxed Mg2ZnSe4 crystal, with properties calculated at the PBE-GGA level.

a = 8.173 Å, b = 8.173 Å, c = 8.173 Å
α = 145.14°, β = 145.14°, γ = 50.13°
Fractional coordinates of all 7 atoms:
Se (0.500, 0.000, 0.500)
Mg (0.601, 0.601, 0.000)
Se (0.767, 0.767, 0.000)
Se (0.233, 0.233, 0.000)
Zn (0.000, 0.000, 0.000)
Se (0.000, 0.500, 0.500)
Mg (0.399, 0.399, 0.000)

Computed properties:
relative energy among the computed polymorphs = 26.59 kJ per mole of atoms
DOS(E_F) = 2.1 states/eV per cell
magnetic moment = 0.00 μB/cell

Record 13
Below is a relaxed MgZnSe crystal, with properties calculated at the PBE-GGA level.

a = 3.690 Å, b = 6.234 Å, c = 11.120 Å
α = 90.00°, β = 90.00°, γ = 90.00°
Fractional coordinates of all 12 atoms:
Mg (0.750, 0.774, 0.002)
Mg (0.750, 0.274, 0.498)
Zn (0.750, 0.079, 0.190)
Zn (0.750, 0.579, 0.310)
Se (0.250, 0.070, 0.355)
Se (0.750, 0.930, 0.645)
Se (0.250, 0.570, 0.145)
Mg (0.250, 0.726, 0.502)
Mg (0.250, 0.226, 0.998)
Se (0.750, 0.430, 0.855)
Zn (0.250, 0.421, 0.690)
Zn (0.250, 0.921, 0.810)

Computed properties:
relative energy among the computed polymorphs = 14.42 kJ per mole of atoms
DOS(E_F) = 1.0 states/eV per cell
magnetic moment = 0.00 μB/cell

Record 14
Below is a relaxed MgZnSe crystal, with properties calculated at the PBE-GGA level.

a = 6.928 Å, b = 6.928 Å, c = 6.928 Å
α = 90.00°, β = 90.00°, γ = 90.00°
Fractional coordinates of all 12 atoms:
Mg (0.948, 0.948, 0.948)
Se (0.384, 0.384, 0.384)
Zn (0.668, 0.332, 0.832)
Se (0.116, 0.616, 0.884)
Mg (0.052, 0.448, 0.552)
Zn (0.832, 0.668, 0.332)
Mg (0.552, 0.052, 0.448)
Zn (0.168, 0.168, 0.168)
Se (0.616, 0.884, 0.116)
Mg (0.448, 0.552, 0.052)
Zn (0.332, 0.832, 0.668)
Se (0.884, 0.116, 0.616)

Computed properties:
relative energy among the computed polymorphs = 14.57 kJ per mole of atoms
DOS(E_F) = 0.0 states/eV per cell
magnetic moment = 0.00 μB/cell

Record 15
Below is a relaxed Mg2ZnSe crystal, with properties calculated at the PBE-GGA level.

a = 8.032 Å, b = 8.032 Å, c = 8.032 Å
α = 26.65°, β = 26.65°, γ = 26.65°
Fractional coordinates of all 4 atoms:
Mg (0.233, 0.233, 0.233)
Mg (0.008, 0.008, 0.008)
Se (0.497, 0.497, 0.497)
Zn (0.762, 0.762, 0.762)

Computed properties:
relative energy among the computed polymorphs = 20.54 kJ per mole of atoms
DOS(E_F) = 1.2 states/eV per cell
magnetic moment = 0.00 μB/cell

Record 16
Below is a relaxed Mg4ZnSe8 crystal, with properties calculated at the PBE-GGA level.

a = 7.348 Å, b = 7.348 Å, c = 7.348 Å
α = 105.12°, β = 105.12°, γ = 118.57°
Fractional coordinates of all 13 atoms:
Mg (0.500, 0.000, 0.000)
Se (0.718, 0.000, 0.718)
Se (0.500, 0.713, 0.213)
Se (0.500, 0.287, 0.787)
Zn (0.000, 0.000, 0.000)
Se (0.287, 0.500, 0.787)
Mg (0.000, 0.500, 0.000)
Se (0.713, 0.500, 0.213)
Mg (0.000, 0.000, 0.500)
Se (0.000, 0.282, 0.282)
Se (0.000, 0.718, 0.718)
Se (0.282, 0.000, 0.282)
Mg (0.500, 0.500, 0.500)

Computed properties:
relative energy among the computed polymorphs = 1.44 kJ per mole of atoms
DOS(E_F) = 3.7 states/eV per cell
magnetic moment = 0.00 μB/cell

Record 17
Below is a relaxed Mg2Zn2Se crystal, with properties calculated at the PBE-GGA level.

a = 6.930 Å, b = 6.930 Å, c = 4.103 Å
α = 90.00°, β = 90.00°, γ = 90.00°
Fractional coordinates of all 10 atoms:
Se (0.000, 0.000, 0.000)
Zn (0.370, 0.130, 0.000)
Zn (0.630, 0.870, 0.000)
Mg (0.666, 0.166, 0.500)
Mg (0.834, 0.666, 0.500)
Zn (0.870, 0.370, 0.000)
Se (0.500, 0.500, 0.000)
Zn (0.130, 0.630, 0.000)
Mg (0.166, 0.334, 0.500)
Mg (0.334, 0.834, 0.500)

Computed properties:
relative energy among the computed polymorphs = 21.18 kJ per mole of atoms
DOS(E_F) = 3.6 states/eV per cell
magnetic moment = 0.00 μB/cell

Record 18
Below is a relaxed Mg2ZnSe4 crystal, with properties calculated at the PBE-GGA level.

a = 7.936 Å, b = 7.936 Å, c = 7.805 Å
α = 117.58°, β = 117.58°, γ = 92.69°
Fractional coordinates of all 14 atoms:
Se (0.567, 0.464, 0.750)
Mg (0.046, 0.029, 0.628)
Se (0.660, 0.975, 0.416)
Mg (0.471, 0.454, 0.372)
Mg (0.952, 0.548, 0.000)
Se (0.525, 0.840, 0.584)
Se (0.080, 0.274, 0.074)
Se (0.228, 0.820, 0.782)
Se (0.680, 0.272, 0.218)
Se (0.036, 0.933, 0.250)
Zn (0.001, 0.499, 0.500)
Zn (0.402, 0.098, 0.500)
Mg (0.625, 0.875, 0.000)
Se (0.226, 0.420, 0.926)

Computed properties:
relative energy among the computed polymorphs = 0.00 kJ per mole of atoms
magnetic moment = 0.00 μB/cell

Record 19
Below is a relaxed Mg4ZnSe crystal, with properties calculated at the PBE-GGA level.

a = 5.746 Å, b = 5.746 Å, c = 5.746 Å
α = 60.00°, β = 60.00°, γ = 60.00°
Fractional coordinates of all 6 atoms:
Zn (0.000, 0.000, 0.000)
Mg (0.375, 0.875, 0.375)
Mg (0.875, 0.375, 0.375)
Mg (0.375, 0.375, 0.375)
Se (0.750, 0.750, 0.750)
Mg (0.375, 0.375, 0.875)

Computed properties:
relative energy among the computed polymorphs = 30.39 kJ per mole of atoms
DOS(E_F) = 3.4 states/eV per cell
magnetic moment = 0.00 μB/cell

Record 20
Below is a relaxed Mg4Zn8Se crystal, with properties calculated at the PBE-GGA level.

a = 8.521 Å, b = 8.521 Å, c = 8.521 Å
α = 92.19°, β = 92.19°, γ = 157.46°
Fractional coordinates of all 13 atoms:
Zn (0.986, 0.372, 0.358)
Se (0.000, 0.000, 0.000)
Zn (0.675, 0.207, 0.881)
Mg (0.552, 0.689, 0.241)
Zn (0.325, 0.793, 0.119)
Zn (0.014, 0.628, 0.642)
Zn (0.628, 0.986, 0.614)
Mg (0.689, 0.448, 0.136)
Zn (0.793, 0.675, 0.468)
Zn (0.207, 0.325, 0.532)
Mg (0.448, 0.311, 0.759)
Zn (0.372, 0.014, 0.386)
Mg (0.311, 0.552, 0.864)

Computed properties:
relative energy among the computed polymorphs = 0.00 kJ per mole of atoms
DOS(E_F) = 3.9 states/eV per cell
magnetic moment = 0.00 μB/cell

Raw formation energy for every record listed, in sequence, given in eV per atom: -0.787 -0.300 -0.335 -0.465 -0.293 -0.365 -0.336 -0.841 0.011 0.006 -0.076 -0.399 -0.460 -0.459 -0.273 -0.469 -0.124 -0.674 0.099 -0.150.
Calculated total energy for every record listed, in sequence, given in eV/atom: -3.150 -2.471 -2.452 -2.583 -2.272 -2.271 -2.323 -3.260 -2.308 -1.981 -1.718 -3.028 -2.578 -2.576 -2.260 -3.202 -1.968 -3.303 -1.757 -1.692.